VASP calculation (GGA-PBE) on an optimized crystal structure of Ba2CdGe4Pd3.

Calculated values
- final energy (eV/atom) = -4.44
- size of the total moment (μB/f.u.) = 0.00
- energy relative to the elements (meV per atom) = -563

Unit cell a=4.573 b=4.573 c=10.700 alpha=90.00 beta=90.00 gamma=90.00
Atoms (fractional coordinates):
Ba1 0.000 0.500 0.244
Ba2 0.500 0.000 0.756
Cd1 0.000 0.000 0.500
Ge1 0.000 0.000 0.000
Ge2 0.000 0.500 0.640
Ge3 0.500 0.000 0.360
Ge4 0.500 0.500 0.000
Pd1 0.000 0.500 0.883
Pd2 0.500 0.000 0.117
Pd3 0.500 0.500 0.500